No. 1
First-principles (PBE) data for BaY2Al after structural relaxation, as listed in Alexandria.

Results
volume = 33.55 A^3/atom
ΔE_f = -0.0219 eV per atom
total energy = -4.670 eV per atom
density = 4.23 g/cm3

Cell and atoms, written as POSCAR:
```
BaY2Al
1.0
-1.8866 2.9715 5.9847
1.8866 -2.9715 5.9847
1.8866 2.9715 -5.9847
Ba Y Al
1 2 1
Direct
0.0000 0.0000 0.0000
0.2942 0.7942 0.5000
0.7058 0.2058 0.5000
0.5000 0.5000 0.0000
```


No. 2
First-principles (PBE) data for YHoH4 after structural relaxation, as listed in Alexandria.

Results
volume = 11.50 A^3/atom
total energy = -4.789 eV per atom
density = 6.20 g/cm3

Cell and atoms, written as POSCAR:
```
YHoH4
1.0
-2.5764 2.5764 5.1995
2.5764 -2.5764 5.1995
2.5764 2.5764 -5.1995
Y Ho H
2 2 8
Direct
0.3750 0.6250 0.7500
0.6250 0.3750 0.2500
0.1250 0.8750 0.2500
0.8750 0.1250 0.7500
0.0000 0.2472 0.2472
0.0000 0.7528 0.7528
0.2472 0.0000 0.7472
0.2472 0.5000 0.2472
0.5000 0.2472 0.7472
0.5000 0.7528 0.2528
0.7528 0.0000 0.2528
0.7528 0.5000 0.7528
```


No. 3
First-principles (PBE) data for SmTh2WC4 after structural relaxation, as listed in Alexandria.

Results
volume = 18.11 A^3/atom
ΔE_f = -0.0462 eV per atom
total energy = -8.722 eV per atom
density = 9.70 g/cm3

Cell and atoms, written as POSCAR:
```
SmTh2WC4
1.0
1.8167 -6.1775 0.0000
1.8167 6.1775 0.0000
0.0000 0.0000 12.9083
Sm Th W C
2 4 2 8
Direct
0.1075 0.8925 0.7500
0.8925 0.1075 0.2500
0.3676 0.6324 0.5383
0.3676 0.6324 0.9617
0.6324 0.3676 0.0383
0.6324 0.3676 0.4617
0.1638 0.8362 0.2500
0.8362 0.1638 0.7500
0.0000 0.0000 0.0000
0.0000 0.0000 0.5000
0.2650 0.7350 0.1338
0.2650 0.7350 0.3662
0.4202 0.5798 0.7500
0.5798 0.4202 0.2500
0.7350 0.2650 0.6338
0.7350 0.2650 0.8662
```